Record 1
Computed, not measured: crystalline CaAc3Zn2 at its relaxed geometry at the PBE level of DFT.

Lattice parameters (Å, degrees): 3.953 3.953 13.307 90.00 90.00 90.00
Element x y z (fractional)
Zn (0.500, 0.500, 0.853)
Zn (0.500, 0.500, 0.147)
Ca (0.500, 0.500, 0.500)
Ac (0.000, 0.000, 0.000)
Ac (0.000, 0.000, 0.284)
Ac (0.000, 0.000, 0.716)

## Properties
Raw total energy in eV per atom: -2.96
Energy relative to the elements in eV/f.u.: -0.89

Record 2
Computed, not measured: crystalline Ce6Sb2C at its relaxed geometry at the PBE level of DFT.

Lattice parameters (Å, degrees): 6.119 7.992 10.008 90.00 94.26 90.00
Element x y z (fractional)
Ce (0.120, 0.355, 0.026)
Ce (0.620, 0.145, 0.526)
Sb (0.901, 0.394, 0.721)
C (0.500, 0.500, 0.000)
Ce (0.832, 0.722, 0.535)
Ce (0.380, 0.855, 0.474)
Ce (0.605, 0.478, 0.246)
Sb (0.599, 0.894, 0.779)
Ce (0.668, 0.222, 0.965)
Ce (0.895, 0.978, 0.254)
Sb (0.099, 0.606, 0.279)
Ce (0.880, 0.645, 0.974)
Ce (0.395, 0.522, 0.754)
Sb (0.401, 0.106, 0.221)
Ce (0.168, 0.278, 0.465)
C (0.000, 0.000, 0.500)
Ce (0.332, 0.778, 0.035)
Ce (0.105, 0.022, 0.746)

## Properties
Raw total energy in eV per atom: -6.38
Energy relative to the lowest polymorph listed for this composition in eV/atom: 0.084
Uncorrected formation energy in meV/atom: -479

Record 3
Computed, not measured: crystalline TaGaSe6 at its relaxed geometry at the PBE level of DFT.

Lattice parameters (Å, degrees): 6.367 6.593 6.427 59.55 71.80 61.43
Element x y z (fractional)
Se (0.087, 0.434, 0.674)
Se (0.272, 0.958, 0.238)
Se (0.913, 0.566, 0.326)
Se (0.412, 0.670, 0.814)
Se (0.588, 0.330, 0.186)
Ga (0.000, 0.000, 0.000)
Ta (0.500, 0.500, 0.500)
Se (0.728, 0.042, 0.762)

## Properties
Raw total energy in eV per atom: -4.77
Uncorrected formation energy in meV/atom: -297

Record 4
Computed, not measured: crystalline Pr4Al12Au at its relaxed geometry at the PBE level of DFT.

Lattice parameters (Å, degrees): 7.702 7.702 7.702 109.47 109.47 109.47
Element x y z (fractional)
Al (0.750, 0.250, 0.500)
Pr (0.500, 0.500, 0.500)
Al (0.698, 0.000, 0.698)
Al (0.000, 0.302, 0.302)
Pr (0.000, 0.000, 0.500)
Au (0.000, 0.000, 0.000)
Al (0.250, 0.500, 0.750)
Al (0.302, 0.000, 0.302)
Al (0.000, 0.698, 0.698)
Al (0.500, 0.750, 0.250)
Al (0.750, 0.500, 0.250)
Al (0.302, 0.302, 0.000)
Pr (0.000, 0.500, 0.000)
Al (0.698, 0.698, 0.000)
Al (0.250, 0.750, 0.500)
Pr (0.500, 0.000, 0.000)
Al (0.500, 0.250, 0.750)

## Properties
Raw total energy in eV per atom: -4.43
Energy relative to the elements in eV/f.u.: -7.95

Question: What is the formula in the third record?
Answer: TaGaSe6